Record 1
ZnSeI2 | PBE-GGA | optimized geometry

The structure in POSCAR format:
```
ZnSeI2
1.0
-3.904 3.904 4.919
3.904 -3.904 4.919
3.904 3.904 -4.919
Zn Se I
2 2 4
Cartesian
0.000 0.000 0.000 Zn
0.000 3.904 2.460 Zn
3.904 0.000 2.460 Se
0.000 0.000 4.919 Se
5.855 1.361 -1.230 I
1.361 1.952 1.230 I
-1.952 2.543 3.689 I
2.543 1.952 6.149 I
```

offset from the most stable computed form	0.00	kcal/mol of atoms
N(E_F)	1.0	states/eV/cell
VASP energy	-7.2	eV per formula unit
size of the total moment	4.00	Bohr magnetons per cell



Record 2
ZnSe2I | PBE-GGA | optimized geometry

The structure in POSCAR format:
```
ZnSe2I
1.0
2.018 1.165 8.950
-2.018 1.165 8.950
0.000 -2.331 8.950
Zn Se I
1 2 1
Cartesian
0.000 0.000 0.000 Zn
0.000 0.000 2.304 Se
0.000 0.000 24.545 Se
0.000 0.000 13.424 I
```

offset from the most stable computed form	11.96	kcal/mol of atoms
N(E_F)	2.6	states/eV/cell
VASP energy	-8.2	eV per formula unit
size of the total moment	0.00	Bohr magnetons per cell



Record 3
Zn2SeI2 | PBE-GGA | optimized geometry

The structure in POSCAR format:
```
Zn2SeI2
1.0
8.784 0.000 0.000
0.000 8.784 0.000
0.000 0.000 4.196
Zn Se I
4 2 4
Cartesian
0.844 3.548 0.000 Zn
3.548 7.940 0.000 Zn
5.236 0.844 0.000 Zn
7.940 5.236 0.000 Zn
0.000 0.000 2.098 Se
4.392 4.392 2.098 Se
2.071 2.321 2.098 I
2.321 6.713 2.098 I
6.463 2.071 2.098 I
6.713 6.463 2.098 I
```

offset from the most stable computed form	0.00	kcal/mol of atoms
N(E_F)	0.0	states/eV/cell
VASP energy	-8.5	eV per formula unit
size of the total moment	0.00	Bohr magnetons per cell



Record 4
ZrSe3I | PBE-GGA | optimized geometry

The structure in POSCAR format:
```
ZrSe3I
1.0
5.263 0.000 0.000
0.000 5.263 0.000
0.000 0.000 5.263
Zr Se I
1 3 1
Cartesian
0.000 0.000 0.000 Zr
0.000 0.000 2.632 Se
0.000 2.632 0.000 Se
2.632 0.000 0.000 Se
2.632 2.632 2.632 I
```

offset from the most stable computed form	0.00	kcal/mol of atoms
N(E_F)	7.0	states/eV/cell
VASP energy	-22.0	eV per formula unit
size of the total moment	0.00	Bohr magnetons per cell



Record 5
ZrSe2I | PBE-GGA | optimized geometry

The structure in POSCAR format:
```
ZrSe2I
1.0
3.705 0.000 0.000
-1.852 3.209 0.000
0.000 0.000 11.412
Zr Se I
1 2 1
Cartesian
0.000 0.000 0.000 Zr
0.000 2.139 9.773 Se
1.852 1.070 1.644 Se
1.852 1.070 5.978 I
```

offset from the most stable computed form	0.00	kcal/mol of atoms
N(E_F)	1.4	states/eV/cell
VASP energy	-20.6	eV per formula unit
size of the total moment	0.00	Bohr magnetons per cell



Record 6
ZrSe2I2 | PBE-GGA | optimized geometry

The structure in POSCAR format:
```
ZrSe2I2
1.0
3.711 -6.446 0.000
3.711 6.446 0.000
-2.909 0.000 7.769
Zr Se I
2 4 4
Cartesian
3.711 4.684 0.000 Zr
3.711 -4.684 0.000 Zr
0.098 0.000 2.160 Se
1.976 0.000 0.746 Se
2.537 0.000 7.023 Se
4.416 0.000 5.609 Se
-0.539 2.660 6.033 I
-0.539 -2.660 6.033 I
5.052 2.660 1.736 I
5.052 -2.660 1.736 I
```

VASP energy	-23.1	eV per formula unit
size of the total moment	0.00	Bohr magnetons per cell



Record 7
ZrSe2I | PBE-GGA | optimized geometry

The structure in POSCAR format:
```
ZrSe2I
1.0
0.000 3.570 3.570
3.570 0.000 3.570
3.570 3.570 0.000
Zr Se I
1 2 1
Cartesian
0.000 0.000 0.000 Zr
1.785 1.785 1.785 Se
5.356 5.356 5.356 Se
3.570 3.570 3.570 I
```

offset from the most stable computed form	17.07	kcal/mol of atoms
N(E_F)	3.9	states/eV/cell
VASP energy	-17.6	eV per formula unit
size of the total moment	0.00	Bohr magnetons per cell



Record 8
Zr3SeI | PBE-GGA | optimized geometry

The structure in POSCAR format:
```
Zr3SeI
1.0
5.082 0.000 0.000
0.000 5.082 0.000
0.000 0.000 5.082
Zr Se I
3 1 1
Cartesian
0.000 0.000 2.541 Zr
0.000 2.541 0.000 Zr
2.541 0.000 0.000 Zr
0.000 0.000 0.000 Se
2.541 2.541 2.541 I
```

offset from the most stable computed form	0.00	kcal/mol of atoms
N(E_F)	8.5	states/eV/cell
VASP energy	-29.9	eV per formula unit
size of the total moment	0.08	Bohr magnetons per cell



Record 9
ZrSe2I | PBE-GGA | optimized geometry

The structure in POSCAR format:
```
ZrSe2I
1.0
1.855 1.071 11.867
-1.855 1.071 11.867
0.000 -2.142 11.867
Zr Se I
1 2 1
Cartesian
0.000 0.000 0.000 Zr
0.000 0.000 13.505 Se
0.000 0.000 22.097 Se
0.000 0.000 17.801 I
```

offset from the most stable computed form	0.09	kcal/mol of atoms
N(E_F)	2.0	states/eV/cell
VASP energy	-20.6	eV per formula unit
size of the total moment	0.00	Bohr magnetons per cell



Record 10
ZrSe2I | PBE-GGA | optimized geometry

The structure in POSCAR format:
```
ZrSe2I
1.0
-3.736 3.736 5.487
3.736 -3.736 5.487
3.736 3.736 -5.487
Zr Se I
2 4 2
Cartesian
0.000 0.000 0.000 Zr
0.000 3.736 2.744 Zr
5.604 1.066 -1.372 Se
1.066 1.868 1.372 Se
-1.868 2.670 4.115 Se
2.670 1.868 6.859 Se
3.736 0.000 2.744 I
0.000 0.000 5.487 I
```

offset from the most stable computed form	9.33	kcal/mol of atoms
N(E_F)	9.4	states/eV/cell
VASP energy	-19.0	eV per formula unit
size of the total moment	1.87	Bohr magnetons per cell



Record 11
ZrSe3I | PBE-GGA | optimized geometry

The structure in POSCAR format:
```
ZrSe3I
1.0
5.318 0.000 0.000
0.000 5.318 0.000
0.000 0.000 5.318
Zr Se I
1 3 1
Cartesian
0.000 0.000 0.000 Zr
0.000 2.659 2.659 Se
2.659 0.000 2.659 Se
2.659 2.659 0.000 Se
2.659 2.659 2.659 I
```

offset from the most stable computed form	25.29	kcal/mol of atoms
N(E_F)	4.5	states/eV/cell
VASP energy	-16.5	eV per formula unit
size of the total moment	1.38	Bohr magnetons per cell



Record 12
Zr2Se2I | PBE-GGA | optimized geometry

The structure in POSCAR format:
```
Zr2Se2I
1.0
8.039 0.000 0.000
0.000 8.039 0.000
0.000 0.000 3.544
Zr Se I
4 4 2
Cartesian
1.069 2.950 0.000 Zr
2.950 6.970 0.000 Zr
5.089 1.069 0.000 Zr
6.970 5.089 0.000 Zr
1.128 5.148 1.772 Se
2.892 1.128 1.772 Se
5.148 6.911 1.772 Se
6.911 2.892 1.772 Se
0.000 0.000 0.000 I
4.020 4.020 0.000 I
```

N(E_F)	6.1	states/eV/cell
VASP energy	-30.1	eV per formula unit
size of the total moment	0.00	Bohr magnetons per cell



Record 13
Zr3Se2I4 | PBE-GGA | optimized geometry

The structure in POSCAR format:
```
Zr3Se2I4
1.0
3.781 0.000 0.000
-1.891 3.275 0.000
0.000 0.000 23.075
Zr Se I
3 2 4
Cartesian
0.000 0.000 0.000 Zr
0.000 2.183 7.172 Zr
0.000 2.183 15.902 Zr
0.000 2.183 1.675 Se
0.000 2.183 21.400 Se
0.000 0.000 5.214 I
0.000 0.000 9.141 I
0.000 0.000 13.934 I
0.000 0.000 17.861 I
```

N(E_F)	3.8	states/eV/cell
VASP energy	-47.6	eV per formula unit
size of the total moment	0.20	Bohr magnetons per cell



Record 14
ZrSe2I | PBE-GGA | optimized geometry

The structure in POSCAR format:
```
ZrSe2I
1.0
1.812 1.046 9.872
-1.812 1.046 9.872
0.000 -2.092 9.872
Zr Se I
1 2 1
Cartesian
0.000 0.000 0.000 Zr
0.000 0.000 2.511 Se
0.000 0.000 27.105 Se
0.000 0.000 14.808 I
```

offset from the most stable computed form	28.31	kcal/mol of atoms
N(E_F)	3.6	states/eV/cell
VASP energy	-15.7	eV per formula unit
size of the total moment	0.00	Bohr magnetons per cell



| no. | E_form (uncorrected) (eV/atom) |
| --- | --- |
| 1 | 0.168 |
| 2 | 0.401 |
| 3 | 0.125 |
| 4 | -0.289 |
| 5 | -0.885 |
| 6 | -0.894 |
| 7 | -0.145 |
| 8 | 0.162 |
| 9 | -0.881 |
| 10 | -0.481 |
| 11 | 0.808 |
| 12 | -0.907 |
| 13 | -0.978 |
| 14 | 0.342 |